Record 1
Below is a relaxed structure of CdRhAu2, with properties calculated at the PBE-GGA level.

- Magnetization: 0.00 μB/f.u.
- Calculated volume: 17.46 Å³ per atom
- Electronic total energy: -15.00 eV for the cell shown
- Formation energy from the elements: -0.05 eV/atom
- Space group: I-4m2 (119)

Cell lengths 4.9230, 4.9230, 4.9230 Å; angles 129.19, 129.19, 74.71 degrees
Last column: nearest neighbours and their distance in Å.
Sites, in units of the cell vectors:
1 Rh 0.7500 0.2500 0.5000  8 Au 2.88-2.99, 4 Cd 2.88
2 Au 0.2500 0.7500 0.5000  4 Cd 2.88, 4 Au 2.88, 4 Rh 2.99
3 Au 0.0000 0.0000 0.0000  4 Au 2.88, 4 Rh 2.88, 4 Cd 2.99
4 Cd 0.5000 0.5000 0.0000  4 Rh 2.88, 8 Au 2.88-2.99

Record 2
Below is a relaxed structure of CdRh2Au, with properties calculated at the PBE-GGA level.

- Magnetization: 1.43 μB/f.u.
- Calculated volume: 16.73 Å³ per atom
- Electronic total energy: -18.34 eV for the cell shown
- Formation energy from the elements: 0.14 eV/atom
- Space group: F-43m (216)

Cell lengths 4.5567, 4.5567, 4.5567 Å; angles 60.00, 60.00, 60.00 degrees
Last column: nearest neighbours and their distance in Å.
Sites, in units of the cell vectors:
1 Rh 0.7500 0.7500 0.7500  4 Rh 2.79, 4 Au 2.79
2 Rh 0.0000 0.0000 0.0000  4 Rh 2.79, 4 Cd 2.79
3 Au 0.5000 0.5000 0.5000  4 Rh 2.79, 4 Cd 2.79
4 Cd 0.2500 0.2500 0.2500  4 Rh 2.79, 4 Au 2.79

Record 3
Below is a relaxed structure of CdRh2Au, with properties calculated at the PBE-GGA level.

- Magnetization: 0.49 μB/f.u.
- Calculated volume: 16.52 Å³ per atom
- Electronic total energy: -18.89 eV for the cell shown
- Formation energy from the elements: 0.00 eV/atom
- Space group: P4mm (99)

Cell lengths 2.8660, 2.8660, 8.0438 Å; angles 90.00, 90.00, 90.00 degrees
Last column: nearest neighbours and their distance in Å.
Sites, in units of the cell vectors:
1 Cd 0.5000 0.5000 0.7643  4 Cd 2.87, 4 Rh 2.88, 4 Au 3.02
2 Rh 0.0000 0.0000 0.0184  8 Rh 2.65-2.87, 4 Cd 2.88
3 Rh 0.5000 0.5000 0.2311  8 Rh 2.65-2.87, 4 Au 2.88
4 Au 0.0000 0.0000 0.4863  4 Au 2.87, 4 Rh 2.88, 4 Cd 3.02

Record 4
Below is a relaxed structure of Cd5RhAu2, with properties calculated at the PBE-GGA level.

- Magnetization: 0.00 μB/f.u.
- Calculated volume: 19.23 Å³ per atom
- Electronic total energy: -38.93 eV for the cell shown
- Formation energy from the elements: -0.12 eV/atom
- Space group: Pbam (55)

Cell lengths 4.4232, 5.8552, 11.8798 Å; angles 90.00, 90.00, 90.00 degrees
Last column: nearest neighbours and their distance in Å.
Sites, in units of the cell vectors:
1 Rh 0.0000 0.0000 0.5000  8 Cd 2.85-2.93
2 Rh 0.0000 0.5000 0.0000  8 Cd 2.85-2.93
3 Au 0.5000 0.2861 0.3676  10 Cd 2.91-3.06, 2 Rh 3.19
4 Au 0.5000 0.7861 0.1324  10 Cd 2.91-3.06, 2 Rh 3.19
5 Au 0.5000 0.2139 0.8676  10 Cd 2.91-3.06, 2 Rh 3.19
6 Au 0.5000 0.7139 0.6324  10 Cd 2.91-3.06, 2 Rh 3.19
7 Cd 0.0000 0.5000 0.5000  2 Rh 2.93, 4 Au 2.99, 6 Cd 3.08-3.09
8 Cd 0.0000 0.4672 0.7599  1 Rh 2.86, 5 Cd 2.94-3.09, 4 Au 2.95-3.04
9 Cd 0.5000 0.7905 0.3899  2 Rh 2.85, 4 Au 2.91-3.06, 4 Cd 3.05-3.08
10 Cd 0.5000 0.2905 0.1101  2 Rh 2.85, 4 Au 2.91-3.06, 4 Cd 3.05-3.08
11 Cd 0.5000 0.2095 0.6101  2 Rh 2.85, 4 Au 2.91-3.06, 4 Cd 3.05-3.08
12 Cd 0.0000 0.9672 0.7401  1 Rh 2.86, 5 Cd 2.94-3.09, 4 Au 2.95-3.04
13 Cd 0.0000 0.0328 0.2599  1 Rh 2.86, 5 Cd 2.94-3.09, 4 Au 2.95-3.04
14 Cd 0.0000 0.0000 0.0000  2 Rh 2.93, 4 Au 2.99, 6 Cd 3.08-3.09
15 Cd 0.0000 0.5328 0.2401  1 Rh 2.86, 5 Cd 2.94-3.09, 4 Au 2.95-3.04
16 Cd 0.5000 0.7095 0.8899  2 Rh 2.85, 4 Au 2.91-3.06, 4 Cd 3.05-3.08